(1)
LaTeW2: single point on PBEsol structure, SCAN.

Results
* magnetic moment: 0.0 μB/cell
* raw formation energy: 827.5 meV/atom
* raw total energy: -54.11 eV/atom
* density of states at the Fermi level: 3.96 states/eV per cell

Unit cell a=3.562 b=4.662 c=5.066 alpha=90.00 beta=90.00 gamma=90.00
Sites, in units of the cell vectors:
La (0.000, 0.000, 0.000)
Te (0.500, 0.500, 0.000)
W (0.000, 0.500, 0.500)
W (0.500, 0.000, 0.500)

(2)
LaTe2W: single point on PBEsol structure, SCAN.

Results
* magnetic moment: 1.0 μB/cell
* raw formation energy: -294.4 meV/atom
* raw total energy: -47.12 eV/atom
* density of states at the Fermi level: 1.76 states/eV per cell
* energy above the most stable polymorph in this dataset: 0 meV per atom

Unit cell a=6.359 b=6.359 c=6.359 alpha=40.91 beta=40.91 gamma=40.91
Sites, in units of the cell vectors:
La (0.000, 0.000, 0.000)
Te (0.229, 0.229, 0.229)
Te (0.771, 0.771, 0.771)
W (0.500, 0.500, 0.500)

(3)
LaTeW: single point on PBEsol structure, SCAN.

Results
* magnetic moment: 0.0 μB/cell
* raw formation energy: 176.3 meV/atom
* raw total energy: -49.84 eV/atom
* density of states at the Fermi level: 2.84 states/eV per cell

Unit cell a=4.660 b=4.660 c=3.888 alpha=90.00 beta=90.00 gamma=120.00
Sites, in units of the cell vectors:
La (0.000, 0.000, 0.000)
Te (0.333, 0.667, 0.500)
W (0.667, 0.333, 0.500)

(4)
LaTe2W: single point on PBEsol structure, SCAN.

Results
* magnetic moment: 0.0 μB/cell
* raw formation energy: -46.3 meV/atom
* raw total energy: -46.87 eV/atom
* density of states at the Fermi level: 2.45 states/eV per cell
* energy above the most stable polymorph in this dataset: 248 meV per atom

Unit cell a=3.761 b=3.761 c=6.958 alpha=90.00 beta=90.00 gamma=90.00
Sites, in units of the cell vectors:
La (0.000, 0.000, 0.000)
Te (0.000, 0.000, 0.536)
Te (0.500, 0.500, 0.243)
W (0.500, 0.500, 0.683)

(5)
LaYTe2: single point on PBEsol structure, SCAN.

Results
* magnetic moment: 1.6 μB/cell
* raw formation energy: -1459.1 meV/atom
* raw total energy: -37.82 eV/atom
* density of states at the Fermi level: 1.47 states/eV per cell
* energy above the most stable polymorph in this dataset: 147 meV per atom

Unit cell a=5.375 b=5.375 c=5.375 alpha=60.00 beta=60.00 gamma=60.00
Sites, in units of the cell vectors:
La (0.000, 0.000, 0.000)
Y (0.500, 0.500, 0.500)
Te (0.250, 0.250, 0.250)
Te (0.750, 0.750, 0.750)

(6)
LaYTe2: single point on PBEsol structure, SCAN.

Results
* magnetic moment: 0.0 μB/cell
* raw formation energy: -1167.0 meV/atom
* raw total energy: -37.53 eV/atom
* density of states at the Fermi level: 1.65 states/eV per cell
* energy above the most stable polymorph in this dataset: 439 meV per atom

Unit cell a=10.090 b=10.090 c=10.090 alpha=24.07 beta=24.07 gamma=24.07
Sites, in units of the cell vectors:
La (0.000, 0.000, 0.000)
Y (0.500, 0.500, 0.500)
Te (0.106, 0.106, 0.106)
Te (0.894, 0.894, 0.894)

(7)
LaYTe2: single point on PBEsol structure, SCAN.

Results
* magnetic moment: 1.8 μB/cell
* raw formation energy: -1560.2 meV/atom
* raw total energy: -37.92 eV/atom
* density of states at the Fermi level: 1.56 states/eV per cell
* energy above the most stable polymorph in this dataset: 46 meV per atom

Unit cell a=7.841 b=7.841 c=7.841 alpha=149.93 beta=149.54 gamma=43.33
Sites, in units of the cell vectors:
La (0.000, 0.000, 0.000)
Y (0.752, 0.252, 0.500)
Te (0.331, 0.831, 0.500)
Te (0.595, 0.595, 0.000)

(8)
LaY2Te: single point on PBEsol structure, SCAN.

Results
* magnetic moment: 0.0 μB/cell
* raw formation energy: -524.4 meV/atom
* raw total energy: -34.53 eV/atom
* density of states at the Fermi level: 3.98 states/eV per cell

Unit cell a=4.804 b=4.804 c=4.724 alpha=90.00 beta=90.00 gamma=90.00
Sites, in units of the cell vectors:
La (0.000, 0.000, 0.000)
Y (0.000, 0.500, 0.500)
Y (0.500, 0.000, 0.500)
Te (0.500, 0.500, 0.000)

(9)
LaYTe2: single point on PBEsol structure, SCAN.

Results
* magnetic moment: 0.0 μB/cell
* raw formation energy: -1605.8 meV/atom
* raw total energy: -37.97 eV/atom
* density of states at the Fermi level: 2.24 states/eV per cell
* energy above the most stable polymorph in this dataset: 0 meV per atom

Unit cell a=7.750 b=7.750 c=7.750 alpha=32.70 beta=32.70 gamma=32.70
Sites, in units of the cell vectors:
La (0.000, 0.000, 0.000)
Y (0.500, 0.500, 0.500)
Te (0.244, 0.244, 0.244)
Te (0.756, 0.756, 0.756)

(10)
LaYTe2: single point on PBEsol structure, SCAN.

Results
* magnetic moment: 0.0 μB/cell
* raw formation energy: -1567.6 meV/atom
* raw total energy: -37.93 eV/atom
* density of states at the Fermi level: 2.40 states/eV per cell
* energy above the most stable polymorph in this dataset: 38 meV per atom

Unit cell a=4.414 b=4.414 c=6.248 alpha=90.00 beta=90.00 gamma=90.00
Sites, in units of the cell vectors:
La (0.000, 0.000, 0.000)
Y (0.500, 0.500, 0.500)
Te (0.000, 0.000, 0.500)
Te (0.500, 0.500, 0.000)

(11)
LaY2Te: single point on PBEsol structure, SCAN.

Results
* magnetic moment: 0.0 μB/cell
* raw formation energy: -652.5 meV/atom
* raw total energy: -34.66 eV/atom
* density of states at the Fermi level: 2.81 states/eV per cell

Unit cell a=6.687 b=6.687 c=6.687 alpha=147.24 beta=130.55 gamma=60.59
Sites, in units of the cell vectors:
La (0.000, 0.000, 0.000)
Y (0.285, 0.785, 0.500)
Y (0.715, 0.215, 0.500)
Te (0.500, 0.500, 0.000)

(12)
LaY2Te: single point on PBEsol structure, SCAN.

Results
* magnetic moment: 0.0 μB/cell
* raw formation energy: -519.4 meV/atom
* raw total energy: -34.53 eV/atom
* density of states at the Fermi level: 4.08 states/eV per cell

Unit cell a=3.817 b=5.161 c=6.407 alpha=90.00 beta=105.38 gamma=90.00
Sites, in units of the cell vectors:
La (0.000, 0.000, 0.000)
Y (0.355, 0.500, 0.728)
Y (0.645, 0.500, 0.272)
Te (0.500, 0.000, 0.500)